Pu2In2Hg | GGA-PBE | relaxed

- M_tot (μB per formula unit) = 11.64
- crystal system = monoclinic
- calculated total energy (eV for the cell shown) = -138.43
- formation energy (eV per atom) = -0.033

abc: 7.7438 8.8664 7.9113
angles: 90.00 98.52 90.00
Space group C2/c (No. 15)
Unique sites:
1 Pu 0.1305 0.2414 0.1277 x8
2 In 0.2202 0.4229 0.4978 x8
3 Hg 0.0000 0.0983 0.7500 x4



ZrZnSn2P | GGA-PBE | relaxed

- M_tot (μB per formula unit) = 0.00
- crystal system = tetragonal
- calculated total energy (eV for the cell shown) = -20.31
- formation energy (eV per atom) = 0.586

abc: 5.2164 5.2164 4.4584
angles: 90.00 90.00 90.00
Space group P4/mmm (No. 123)
Unique sites:
1 Zr 0.0000 0.0000 0.0000 x1
2 Zn 0.5000 0.5000 0.5000 x1
3 Sn 0.0000 0.5000 0.5000 x2
4 P 0.5000 0.5000 0.0000 x1



V6Ge2H | GGA-PBE | relaxed

- M_tot (μB per formula unit) = 0.00
- crystal system = orthorhombic
- calculated total energy (eV for the cell shown) = -137.63

abc: 3.1016 11.4108 6.4572
angles: 90.00 90.00 90.00
Space group Amm2 (No. 38)
Unique sites:
1 V 0.0000 0.0000 0.0000 x2
2 V 0.0000 0.1183 0.6880 x4
3 V 0.5000 0.0000 0.3984 x2
4 V 0.5000 0.2049 0.9848 x4
5 Ge 0.0000 0.1610 0.2864 x4
6 H 0.5000 0.0000 0.6838 x2



KRbNa2Te | GGA-PBE | relaxed

- M_tot (μB per formula unit) = 0.00
- crystal system = tetragonal
- calculated total energy (eV for the cell shown) = -9.89
- ΔE to the lowest computed polymorph (meV/atom) = 11
- formation energy from raw total energies (eV/atom) = -0.410

abc: 6.1638 6.1638 7.1497
angles: 90.00 90.00 90.00
Space group P4/mmm (No. 123)
Unique sites:
1 K 0.0000 0.0000 0.0000 x1
2 Rb 0.5000 0.5000 0.0000 x1
3 Na 0.0000 0.5000 0.5000 x2
4 Te 0.5000 0.5000 0.5000 x1



LiYCr2H | GGA-PBE | relaxed

- M_tot (μB per formula unit) = 8.38
- crystal system = tetragonal
- calculated total energy (eV for the cell shown) = -20.36
- ΔE to the lowest computed polymorph (meV/atom) = 1011

abc: 5.3224 5.3224 6.3454
angles: 90.00 90.00 90.00
Space group P4/mmm (No. 123)
Unique sites:
1 Li 0.0000 0.0000 0.0000 x1
2 Y 0.0000 0.0000 0.5000 x1
3 Cr 0.0000 0.5000 0.5000 x2
4 H 0.5000 0.5000 0.0000 x1



YB3Pt9 | GGA-PBE | relaxed

- M_tot (μB per formula unit) = 0.00
- crystal system = hexagonal
- calculated total energy (eV for the cell shown) = -83.86
- formation energy (eV per atom) = -0.230

abc: 7.8998 7.8998 4.1027
angles: 90.00 90.00 120.00
Space group P6/mmm (No. 191)
Unique sites:
1 Y 0.0000 0.0000 0.0000 x1
2 B 0.0000 0.5000 0.5000 x3
3 Pt 0.0000 0.5000 0.0000 x3
4 Pt 0.1986 0.3973 0.5000 x6



Y3Hg | GGA-PBE | relaxed

- M_tot (μB per formula unit) = 0.00
- crystal system = orthorhombic
- calculated total energy (eV for the cell shown) = -40.64
- formation energy (eV per atom) = -0.157

abc: 5.3716 6.7317 6.2587
angles: 90.00 90.00 90.00
Space group Pmmn (No. 59, origin choice 2)
Unique sites:
1 Y 0.2500 0.0074 0.1524 x4
2 Y 0.2500 0.2500 0.6254 x2
3 Hg 0.2500 0.7500 0.6655 x2



HoSbH | GGA-PBE | relaxed

- M_tot (μB per formula unit) = 0.00
- crystal system = orthorhombic
- calculated total energy (eV for the cell shown) = -55.48
- ΔE to the lowest computed polymorph (meV/atom) = 120

abc: 4.2342 7.8890 7.3664
angles: 90.00 90.00 90.00
Space group Imm2 (No. 44)
Unique sites:
1 Ho 0.0000 0.0000 0.0000 x2
2 Ho 0.0000 0.5000 0.0161 x2
3 Sb 0.0000 0.2438 0.3396 x4
4 H 0.0000 0.0530 0.6774 x4



LaTcAg2Pd | GGA-PBE | relaxed

- M_tot (μB per formula unit) = 3.36
- crystal system = tetragonal
- calculated total energy (eV for the cell shown) = -21.95
- formation energy (eV per atom) = 0.848

abc: 5.0940 5.0940 5.2509
angles: 90.00 90.00 90.00
Space group P4/mmm (No. 123)
Unique sites:
1 La 0.0000 0.0000 0.0000 x1
2 Tc 0.5000 0.5000 0.0000 x1
3 Ag 0.0000 0.5000 0.5000 x2
4 Pd 0.0000 0.0000 0.5000 x1



KBi2Rh | GGA-PBE | relaxed

- M_tot (μB per formula unit) = 0.00
- crystal system = cubic
- calculated total energy (eV for the cell shown) = -63.29
- ΔE to the lowest computed polymorph (meV/atom) = 319
- formation energy (eV per atom) = 0.097

abc: 7.3238 7.3238 7.3238
angles: 90.00 90.00 90.00
Space group Fm-3m (No. 225)
Unique sites:
1 K 0.0000 0.0000 0.0000 x4
2 Bi 0.2500 0.2500 0.2500 x8
3 Rh 0.0000 0.0000 0.5000 x4



GaCuIrAu | GGA-PBE | relaxed

- M_tot (μB per formula unit) = 0.00
- crystal system = cubic
- calculated total energy (eV for the cell shown) = -77.81
- formation energy (eV per atom) = -0.048

abc: 6.1813 6.1813 6.1813
angles: 90.00 90.00 90.00
Space group F-43m (No. 216)
Unique sites:
1 Ga 0.0000 0.0000 0.0000 x4
2 Cu 0.0000 0.0000 0.5000 x4
3 Ir 0.2500 0.2500 0.7500 x4
4 Au 0.2500 0.2500 0.2500 x4



SbPNO2 | GGA-PBE | relaxed

- M_tot (μB per formula unit) = 0.00
- crystal system = tetragonal
- calculated total energy (eV for the cell shown) = -24.04
- formation energy from raw total energies (eV/atom) = 0.746

abc: 3.8727 3.8727 3.8053
angles: 90.00 90.00 90.00
Space group P4/mmm (No. 123)
Unique sites:
1 Sb 0.0000 0.0000 0.0000 x1
2 P 0.5000 0.5000 0.0000 x1
3 N 0.5000 0.5000 0.5000 x1
4 O 0.0000 0.5000 0.5000 x2